# PBE ReHg2Mo, optimized geometry
data_ReHg2Mo
_cell_length_a 5.641
_cell_length_b 9.149
_cell_length_c 2.776
_cell_angle_alpha 90.00
_cell_angle_beta 90.00
_cell_angle_gamma 90.00
_symmetry_space_group_name_H-M 'C m m m'
_symmetry_Int_Tables_number 65
_symmetry_space_group_name_Hall '-C 2 2'
loop_
_atom_site_label
_atom_site_fract_x
_atom_site_fract_y
_atom_site_fract_z
Re1 0.000 0.000 0.000
Hg1 0.250 0.250 0.500
Mo1 0.000 0.500 0.000
# * relative energy among the computed polymorphs: 0.505 eV/atom

# PBE Pu2CdAu6, optimized geometry
data_Pu2CdAu6
_cell_length_a 14.618
_cell_length_b 8.434
_cell_length_c 3.075
_cell_angle_alpha 90.00
_cell_angle_beta 91.64
_cell_angle_gamma 90.00
_symmetry_space_group_name_H-M 'C 1 2/m 1'
_symmetry_Int_Tables_number 12
loop_
_symmetry_equiv_pos_as_xyz
'x,y,z'
'-x,-y,-z'
'-x,y,-z'
'x,-y,z'
'x+1/2,y+1/2,z'
'-x+1/2,-y+1/2,-z'
'-x+1/2,y+1/2,-z'
'x+1/2,-y+1/2,z'
loop_
_atom_site_label
_atom_site_fract_x
_atom_site_fract_y
_atom_site_fract_z
Pu1 0.167 0.000 0.000
Cd1 0.000 0.500 0.000
Au1 0.000 0.169 0.500
Au2 0.166 0.334 0.480
# * calculated total energy: -104.1 eV for the cell shown

# PBE ZnCrInSn2, optimized geometry
data_ZnCrInSn2
_cell_length_a 5.064
_cell_length_b 5.064
_cell_length_c 4.977
_cell_angle_alpha 90.00
_cell_angle_beta 90.00
_cell_angle_gamma 90.00
_symmetry_space_group_name_H-M 'P 4/m m m'
_symmetry_Int_Tables_number 123
_symmetry_space_group_name_Hall '-P 4 2'
loop_
_atom_site_label
_atom_site_fract_x
_atom_site_fract_y
_atom_site_fract_z
Zn1 0.000 0.000 0.000
Cr1 0.000 0.000 0.500
In1 0.500 0.500 0.000
Sn1 0.000 0.500 0.500
# * calculated total energy: -19.9 eV for the cell shown

# PBE YTaCl, optimized geometry
data_YTaCl
_cell_length_a 6.461
_cell_length_b 6.461
_cell_length_c 6.461
_cell_angle_alpha 90.00
_cell_angle_beta 90.00
_cell_angle_gamma 90.00
_symmetry_space_group_name_H-M 'F -4 3 m'
_symmetry_Int_Tables_number 216
_symmetry_space_group_name_Hall 'F -4 2 3'
loop_
_atom_site_label
_atom_site_fract_x
_atom_site_fract_y
_atom_site_fract_z
Y1 0.000 0.000 0.000
Ta1 0.000 0.000 0.500
Cl1 0.250 0.250 0.250
# * relative energy among the computed polymorphs: 0.696 eV/atom
# * formation energy from raw total energies: 549 meV per atom